1.
This record from Alexandria via LeMat-Bulk describes a crystal of CaInW relaxed with PBEsol. The functional is meta-GGA SCAN.

The energy above the most stable polymorph in this dataset is 1.86 eV/f.u.

The structure belongs to space group F-43m (No. 216); the cell edges are 6.7529, 6.7529 and 6.7529 Å and the angles 90.00°, 90.00° and 90.00°. The inequivalent atoms are Ca at (0.0000, 0.0000, 0.0000), In at (0.2500, 0.2500, 0.2500) and W at (0.0000, 0.0000, 0.5000).

2.
This record from Alexandria via LeMat-Bulk describes a crystal of CaInW relaxed with PBEsol. The functional is meta-GGA SCAN.

The energy above the most stable polymorph in this dataset is 0.69 eV/f.u.

The structure belongs to space group P3m1 (No. 156); the cell edges are 3.0843, 3.0843 and 7.5971 Å and the angles 90.00°, 90.00° and 120.00°. The inequivalent atoms are Ca at (0.0000, 0.0000, 0.0000), In at (0.3333, 0.6667, 0.6351) and W at (0.6667, 0.3333, 0.3292).

3.
This record from Alexandria via LeMat-Bulk describes a crystal of CaInW2 relaxed with PBEsol. The functional is meta-GGA SCAN.

The structure belongs to space group P4mm (No. 99); the cell edges are 2.8002, 2.8002 and 9.6461 Å and the angles 90.00°, 90.00° and 90.00°. The inequivalent atoms are Ca at (0.0000, 0.0000, 0.0000), In at (0.5000, 0.5000, 0.2751), W at (0.0000, 0.0000, 0.5073) and W at (0.5000, 0.5000, 0.7366).

Number 1: formation energy 1.0993 eV per atom, total magnetization 2.55 μB/f.u., total energy -36.48 eV per atom. Number 2: formation energy 0.7098 eV per atom, total magnetization 0.00 μB/f.u., total energy -36.87 eV per atom. Number 3: formation energy 0.6327 eV per atom, total magnetization 0.00 μB/f.u., total energy -44.97 eV per atom.